Th2Al3Tc (PBE, relaxed); mass density = 8.594 g/cm3; DFT total energy = -6.521 eV/atom
1.0
5.581 0.000 0.000
-2.790 4.833 0.000
0.000 0.000 9.213
Th Al Tc
4 6 2
direct
0.333 0.667 0.048 Th
0.333 0.667 0.452 Th
0.667 0.333 0.548 Th
0.667 0.333 0.952 Th
0.162 0.324 0.750 Al
0.162 0.838 0.750 Al
0.324 0.162 0.250 Al
0.676 0.838 0.750 Al
0.838 0.162 0.250 Al
0.838 0.676 0.250 Al
0.000 0.000 0.000 Tc
0.000 0.000 0.500 Tc